Computed, not measured: a relaxed structure of YThFeRu at the PBE level of DFT.

a = 6.935 Å, b = 6.935 Å, c = 6.935 Å
α = 90.00°, β = 90.00°, γ = 90.00°
Space group F-43m (No. 216)
Asymmetric unit:
1 Y 0.000 0.000 0.000 (multiplicity 4)
2 Th 0.000 0.000 0.500 (multiplicity 4)
3 Fe 0.250 0.250 0.250 (multiplicity 4)
4 Ru 0.250 0.250 0.750 (multiplicity 4)

Computed properties:
The calculation puts the density of states at the Fermi level at 17.6 states/eV per cell. The total moment comes out at 1.49 μB per formula unit. The calculation puts the raw total energy at -8.035 eV/atom.

***

Computed, not measured: a relaxed structure of Ti2FeRu at the PBE level of DFT.

a = 6.048 Å, b = 6.048 Å, c = 6.048 Å
α = 90.00°, β = 90.00°, γ = 90.00°
Space group Fm-3m (No. 225)
Asymmetric unit:
1 Ti 0.250 0.250 0.250 (multiplicity 8)
2 Fe 0.000 0.000 0.000 (multiplicity 4)
3 Ru 0.000 0.000 0.500 (multiplicity 4)

Computed properties:
The calculation puts the density of states at the Fermi level at 3.2 states/eV per cell. The total moment comes out at 0.00 μB per formula unit. The calculation puts the raw total energy at -8.956 eV/atom.

***

Computed, not measured: a relaxed structure of Ti3FeRu2 at the PBE level of DFT.

a = 3.045 Å, b = 3.045 Å, c = 9.135 Å
α = 90.00°, β = 90.00°, γ = 90.00°
Space group P4/mmm (No. 123)
Asymmetric unit:
1 Ti 0.000 0.000 0.000 (multiplicity 1)
2 Ti 0.000 0.000 0.341 (multiplicity 2)
3 Fe 0.500 0.500 0.500 (multiplicity 1)
4 Ru 0.500 0.500 0.170 (multiplicity 2)

Computed properties:
The calculation puts the density of states at the Fermi level at 2.3 states/eV per cell. The total moment comes out at 0.14 μB per formula unit. The calculation puts the raw total energy at -9.083 eV/atom.

***

Computed, not measured: a relaxed structure of TiFe2Ru2 at the PBE level of DFT.

a = 7.105 Å, b = 7.105 Å, c = 2.651 Å
α = 90.00°, β = 90.00°, γ = 90.00°
Space group P4/mbm (No. 127)
Asymmetric unit:
1 Ti 0.000 0.000 0.000 (multiplicity 2)
2 Fe 0.170 0.330 0.500 (multiplicity 4)
3 Ru 0.128 0.628 0.000 (multiplicity 4)

Computed properties:
The calculation puts the density of states at the Fermi level at 10.2 states/eV per cell. The total moment comes out at 0.00 μB per formula unit. The calculation puts the raw total energy at -8.591 eV/atom. The energy above the most stable polymorph in this dataset comes out at 7.8 kJ per mole of atoms.

***

Computed, not measured: a relaxed structure of TiFeRu3 at the PBE level of DFT.

a = 4.372 Å, b = 4.372 Å, c = 4.372 Å
α = 90.00°, β = 90.00°, γ = 90.00°
Space group Pm-3m (No. 221)
Asymmetric unit:
1 Ti 0.000 0.000 0.000 (multiplicity 1)
2 Fe 0.500 0.500 0.500 (multiplicity 1)
3 Ru 0.000 0.500 0.500 (multiplicity 3)

Computed properties:
The calculation puts the density of states at the Fermi level at 9.5 states/eV per cell. The total moment comes out at 1.19 μB per formula unit. The calculation puts the raw total energy at -7.818 eV/atom. The energy above the most stable polymorph in this dataset comes out at 0.0 kJ per mole of atoms.

***

Computed, not measured: a relaxed structure of TiFe2Ru2 at the PBE level of DFT.

a = 7.008 Å, b = 7.008 Å, c = 2.690 Å
α = 90.00°, β = 90.00°, γ = 90.00°
Space group P4/mbm (No. 127)
Asymmetric unit:
1 Ti 0.000 0.000 0.000 (multiplicity 2)
2 Fe 0.119 0.381 0.000 (multiplicity 4)
3 Ru 0.176 0.676 0.500 (multiplicity 4)

Computed properties:
The calculation puts the density of states at the Fermi level at 11.1 states/eV per cell. The total moment comes out at 0.00 μB per formula unit. The calculation puts the raw total energy at -8.672 eV/atom. The energy above the most stable polymorph in this dataset comes out at 0.0 kJ per mole of atoms.

***

Computed, not measured: a relaxed structure of TiFe3Ru at the PBE level of DFT.

a = 4.494 Å, b = 4.494 Å, c = 4.494 Å
α = 90.00°, β = 90.00°, γ = 90.00°
Space group Pm-3m (No. 221)
Asymmetric unit:
1 Ti 0.000 0.000 0.000 (multiplicity 1)
2 Fe 0.000 0.500 0.500 (multiplicity 3)
3 Ru 0.500 0.500 0.500 (multiplicity 1)

Computed properties:
The calculation puts the density of states at the Fermi level at 10.8 states/eV per cell. The total moment comes out at 6.45 μB per formula unit. The calculation puts the raw total energy at -7.291 eV/atom. The energy above the most stable polymorph in this dataset comes out at 0.0 kJ per mole of atoms.

***

Computed, not measured: a relaxed structure of Ti2FeRu at the PBE level of DFT.

a = 3.029 Å, b = 3.029 Å, c = 6.027 Å
α = 90.00°, β = 90.00°, γ = 90.00°
Space group P4/mmm (No. 123)
Asymmetric unit:
1 Ti 0.000 0.000 0.242 (multiplicity 2)
2 Fe 0.500 0.500 0.000 (multiplicity 1)
3 Ru 0.500 0.500 0.500 (multiplicity 1)

Computed properties:
The calculation puts the density of states at the Fermi level at 1.8 states/eV per cell. The total moment comes out at 0.13 μB per formula unit. The calculation puts the raw total energy at -8.955 eV/atom.

***

Computed, not measured: a relaxed structure of Ti2FeRu at the PBE level of DFT.

a = 4.278 Å, b = 4.278 Å, c = 3.027 Å
α = 90.00°, β = 90.00°, γ = 90.00°
Space group P4/mmm (No. 123)
Asymmetric unit:
1 Ti 0.000 0.500 0.000 (multiplicity 2)
2 Fe 0.000 0.000 0.500 (multiplicity 1)
3 Ru 0.500 0.500 0.500 (multiplicity 1)

Computed properties:
The calculation puts the density of states at the Fermi level at 1.0 states/eV per cell. The total moment comes out at 0.00 μB per formula unit. The calculation puts the raw total energy at -8.949 eV/atom.

***

Computed, not measured: a relaxed structure of Ti6Fe5Ru at the PBE level of DFT.

a = 4.219 Å, b = 5.945 Å, c = 12.627 Å
α = 90.00°, β = 90.00°, γ = 90.00°
Space group Immm (No. 71)
Asymmetric unit:
1 Ti 0.000 0.245 0.000 (multiplicity 4)
2 Ti 0.000 0.253 0.331 (multiplicity 8)
3 Fe 0.000 0.000 0.167 (multiplicity 4)
4 Fe 0.000 0.500 0.168 (multiplicity 4)
5 Fe 0.000 0.500 0.500 (multiplicity 2)
6 Ru 0.000 0.000 0.500 (multiplicity 2)

Computed properties:
The calculation puts the density of states at the Fermi level at 7.6 states/eV per cell. The total moment comes out at 0.00 μB per formula unit. The calculation puts the raw total energy at -8.708 eV/atom.

***

Computed, not measured: a relaxed structure of Ti2Fe2Ru at the PBE level of DFT.

a = 6.614 Å, b = 6.614 Å, c = 3.133 Å
α = 90.00°, β = 90.00°, γ = 90.00°
Space group P4/mbm (No. 127)
Asymmetric unit:
1 Ti 0.190 0.310 0.000 (multiplicity 4)
2 Fe 0.115 0.615 0.500 (multiplicity 4)
3 Ru 0.000 0.000 0.500 (multiplicity 2)

Computed properties:
The calculation puts the density of states at the Fermi level at 9.2 states/eV per cell. The total moment comes out at 1.94 μB per formula unit. The calculation puts the raw total energy at -8.516 eV/atom.

***

Computed, not measured: a relaxed structure of Ti5FeRu4 at the PBE level of DFT.

a = 3.063 Å, b = 3.063 Å, c = 15.283 Å
α = 90.00°, β = 90.00°, γ = 90.00°
Space group P4/mmm (No. 123)
Asymmetric unit:
1 Ti 0.000 0.000 0.000 (multiplicity 1)
2 Ti 0.000 0.000 0.203 (multiplicity 2)
3 Ti 0.000 0.000 0.405 (multiplicity 2)
4 Fe 0.500 0.500 0.500 (multiplicity 1)
5 Ru 0.500 0.500 0.101 (multiplicity 2)
6 Ru 0.500 0.500 0.304 (multiplicity 2)

Computed properties:
The calculation puts the density of states at the Fermi level at 3.2 states/eV per cell. The total moment comes out at 0.19 μB per formula unit. The calculation puts the raw total energy at -9.190 eV/atom.

***

Computed, not measured: a relaxed structure of Ti2FeRu at the PBE level of DFT.

a = 6.611 Å, b = 6.611 Å, c = 5.439 Å
α = 90.00°, β = 90.00°, γ = 90.00°
Space group I-42d (No. 122)
Asymmetric unit:
1 Ti 0.238 0.750 0.125 (multiplicity 8)
2 Fe 0.000 0.000 0.000 (multiplicity 4)
3 Ru 0.000 0.000 0.500 (multiplicity 4)

Computed properties:
The calculation puts the density of states at the Fermi level at 12.6 states/eV per cell. The total moment comes out at 0.61 μB per formula unit. The calculation puts the raw total energy at -8.292 eV/atom.